No. 1
VASP calculation (PBE-GGA) on a relaxed Pm2Pd8Au crystal.

The structure belongs to space group C2/m (No. 12); the cell edges are 14.622, 4.328 and 6.635 Å and the angles 90.00°, 108.46° and 90.00°. The distinct sites, in fractional coordinates, are Pm at (0.214, 0.000, 0.165), Pd at (0.032, 0.000, 0.225), Pd at (0.089, 0.500, 0.937), Pd at (0.142, 0.000, 0.672), Pd at (0.167, 0.500, 0.393) and Au at (0.000, 0.500, 0.500).

As for the energy of formation from the pure elements: -5.05 eV/f.u. For the total moment, the calculation gives 0.000 μB/atom. The calculation puts the calculated density at 11.16 g/cm³.



No. 2
VASP calculation (PBE-GGA) on a relaxed PmPdAu crystal.

The structure belongs to space group I4mm (No. 107); the cell edges are 3.770, 3.770 and 9.147 Å and the angles 90.00°, 90.00° and 90.00°. The distinct sites, in fractional coordinates, are Pm at (0.000, 0.000, 0.000), Pd at (0.000, 0.000, 0.663) and Au at (0.000, 0.000, 0.331).

As for the energy of formation from the pure elements: -2.33 eV/f.u. For the total moment, the calculation gives 0.000 μB/atom. The value obtained for the offset from the most stable computed form is 15 meV per atom. The calculation puts the calculated density at 11.46 g/cm³.



No. 3
VASP calculation (PBE-GGA) on a relaxed Pm3Pd3Au2 crystal.

The structure belongs to space group Cmcm (No. 63); the cell edges are 4.189, 10.963 and 15.902 Å and the angles 90.00°, 90.00° and 90.00°. The distinct sites, in fractional coordinates, are Pm at (0.000, 0.066, 0.104), Pm at (0.000, 0.337, 0.250), Pd at (0.000, 0.386, 0.034), Pd at (0.000, 0.395, 0.750) and Au at (0.000, 0.224, 0.614).

As for the energy of formation from the pure elements: -6.27 eV/f.u. For the total moment, the calculation gives 0.000 μB/atom. The value obtained for the offset from the most stable computed form is 0 meV per atom. The calculation puts the calculated density at 10.44 g/cm³.



No. 4
VASP calculation (PBE-GGA) on a relaxed PmPd8Au2 crystal.

The structure belongs to space group C2/m (No. 12); the cell edges are 7.442, 14.167 and 4.933 Å and the angles 90.00°, 131.50° and 90.00°. The distinct sites, in fractional coordinates, are Pm at (0.000, 0.000, 0.000), Pd at (0.000, 0.196, 0.000), Pd at (0.003, 0.500, 0.752), Pd at (0.240, 0.139, 0.739) and Au at (0.000, 0.319, 0.500).

As for the energy of formation from the pure elements: -2.63 eV/f.u. For the total moment, the calculation gives 0.000 μB/atom. The value obtained for the offset from the most stable computed form is 76 meV per atom. The calculation puts the calculated density at 11.85 g/cm³.